Model i:
! BW3N6, optimized geometry, DFT GGA-PBE; values from VASP
&SYSTEM
  ibrav = 0, nat = 20, ntyp = 3
/
ATOMIC_SPECIES
B 10.81 B.upf
N 14.01 N.upf
W 183.84 W.upf
CELL_PARAMETERS angstrom
4.0527 -4.8361 0.0000
4.0527 4.8361 0.0000
0.0000 0.0000 4.7424
ATOMIC_POSITIONS crystal
B 0.7077 0.2923 0.2134
B 0.2923 0.7077 0.7134
N 0.2795 0.7205 0.0350
N 0.2051 0.1221 0.0379
N 0.8779 0.7949 0.0379
N 0.6172 0.0780 0.0449
N 0.9220 0.3828 0.0449
N 0.5544 0.4456 0.0952
N 0.7205 0.2795 0.5350
N 0.1221 0.2051 0.5379
N 0.7949 0.8779 0.5379
N 0.0780 0.6172 0.5449
N 0.3828 0.9220 0.5449
N 0.4456 0.5544 0.5952
W 0.2277 0.4230 0.2350
W 0.5770 0.7723 0.2350
W 0.0954 0.9046 0.3334
W 0.4230 0.2277 0.7350
W 0.7723 0.5770 0.7350
W 0.9046 0.0954 0.8334
! Magnetization: 0.0 μB/cell

---

Model ii:
! BW3N6, optimized geometry, DFT GGA-PBE; values from VASP
&SYSTEM
  ibrav = 0, nat = 20, ntyp = 3
/
ATOMIC_SPECIES
B 10.81 B.upf
N 14.01 N.upf
W 183.84 W.upf
CELL_PARAMETERS angstrom
-0.5492 -1.8727 -4.5853
-3.1506 -1.3250 3.6265
-5.4950 7.0201 -2.2090
ATOMIC_POSITIONS crystal
B 0.6667 0.3333 0.2500
B 0.3333 0.6667 0.7500
N 0.3612 0.0322 0.1344
N 0.9678 0.3289 0.1344
N 0.6711 0.6388 0.1344
N 0.6711 0.0322 0.3656
N 0.3612 0.3289 0.3656
N 0.9678 0.6388 0.3656
N 0.0322 0.3612 0.6344
N 0.6388 0.6711 0.6344
N 0.3289 0.9678 0.6344
N 0.3289 0.3612 0.8656
N 0.0322 0.6711 0.8656
N 0.6388 0.9678 0.8656
W 0.3333 0.6667 0.0293
W 0.0000 0.0000 0.2500
W 0.3333 0.6667 0.4707
W 0.6667 0.3333 0.5293
W 0.0000 0.0000 0.7500
W 0.6667 0.3333 0.9707
! Magnetization: 0.1 μB/cell

---

model i has the most favorable energy; the next structure is 380 meV per atom above.

---

Model i:
! B2W3N8, optimized geometry, DFT GGA-PBE; values from VASP
&SYSTEM
  ibrav = 0, nat = 26, ntyp = 3
/
ATOMIC_SPECIES
B 10.81 B.upf
N 14.01 N.upf
W 183.84 W.upf
CELL_PARAMETERS angstrom
2.8871 -5.4473 0.0000
2.8871 5.4473 0.0000
0.0000 0.0000 7.9317
ATOMIC_POSITIONS crystal
B 0.8867 0.1133 0.1096
B 0.3867 0.6133 0.3904
B 0.6133 0.3867 0.6096
B 0.1133 0.8867 0.8904
N 0.1087 0.3403 0.0002
N 0.6597 0.8913 0.0002
N 0.7692 0.2308 0.2174
N 0.0016 0.9984 0.2425
N 0.5016 0.4984 0.2575
N 0.2692 0.7308 0.2826
N 0.1597 0.3913 0.4998
N 0.6087 0.8403 0.4998
N 0.3913 0.1597 0.5002
N 0.8403 0.6087 0.5002
N 0.7308 0.2692 0.7174
N 0.4984 0.5016 0.7425
N 0.9984 0.0016 0.7575
N 0.2308 0.7692 0.7826
N 0.3403 0.1087 0.9998
N 0.8913 0.6597 0.9998
W 0.5000 0.5000 0.0000
W 0.3975 0.1025 0.2500
W 0.8975 0.6025 0.2500
W 0.0000 0.0000 0.5000
W 0.1025 0.3975 0.7500
W 0.6025 0.8975 0.7500
! Magnetization: 0.0 μB/cell

---

Model ii:
! B2W3N8, optimized geometry, DFT GGA-PBE; values from VASP
&SYSTEM
  ibrav = 0, nat = 26, ntyp = 3
/
ATOMIC_SPECIES
B 10.81 B.upf
N 14.01 N.upf
W 183.84 W.upf
CELL_PARAMETERS angstrom
-0.0155 5.7117 0.8563
-4.4642 0.1566 -1.1256
-2.4482 -1.6786 9.4760
ATOMIC_POSITIONS crystal
B 0.2471 0.9258 0.0871
B 0.7529 0.4258 0.4129
B 0.2471 0.5742 0.5871
B 0.7529 0.0742 0.9129
N 0.7564 0.1950 0.0572
N 0.2264 0.2484 0.1048
N 0.0246 0.7654 0.1604
N 0.4502 0.7991 0.1742
N 0.5498 0.2991 0.3258
N 0.9754 0.2654 0.3396
N 0.7736 0.7484 0.3952
N 0.2436 0.6950 0.4428
N 0.7564 0.3050 0.5572
N 0.2264 0.2516 0.6048
N 0.0246 0.7346 0.6604
N 0.4502 0.7009 0.6742
N 0.5498 0.2009 0.8258
N 0.9754 0.2346 0.8396
N 0.7736 0.7516 0.8952
N 0.2436 0.8050 0.9428
W 0.0000 0.5000 0.0000
W 0.7292 0.9919 0.2280
W 0.2708 0.4919 0.2720
W 0.0000 0.0000 0.5000
W 0.7292 0.5081 0.7280
W 0.2708 0.0081 0.7720
! Magnetization: 0.0 μB/cell

---

model ii has the most favorable energy; the next structure is 76 meV per atom above.

---

Model i:
! BW2N4, optimized geometry, DFT GGA-PBE; values from VASP
&SYSTEM
  ibrav = 0, nat = 7, ntyp = 3
/
ATOMIC_SPECIES
B 10.81 B.upf
N 14.01 N.upf
W 183.84 W.upf
CELL_PARAMETERS angstrom
1.4311 0.8262 11.3716
-1.4311 0.8262 11.3716
0.0000 -1.6525 11.3716
ATOMIC_POSITIONS crystal
B 0.3885 0.3885 0.3885
N 0.0541 0.0541 0.0541
N 0.2919 0.2919 0.2919
N 0.4650 0.4650 0.4650
N 0.8706 0.8706 0.8706
W 0.1652 0.1652 0.1652
W 0.9287 0.9287 0.9287
! Magnetization: 0.0 μB/cell

---

Model ii:
! BW2N4, optimized geometry, DFT GGA-PBE; values from VASP
&SYSTEM
  ibrav = 0, nat = 28, ntyp = 3
/
ATOMIC_SPECIES
B 10.81 B.upf
N 14.01 N.upf
W 183.84 W.upf
CELL_PARAMETERS angstrom
-2.7734 -5.3600 4.4805
-3.6424 6.5653 0.3540
0.3700 -5.6703 -4.9200
ATOMIC_POSITIONS crystal
B 0.2438 0.1124 0.1313
B 0.4811 0.1124 0.3687
B 0.5189 0.8876 0.6313
B 0.7562 0.8876 0.8687
N 0.2470 0.2278 0.0193
N 0.8640 0.2254 0.1007
N 0.3754 0.7746 0.1387
N 0.4622 0.2122 0.2500
N 0.9763 0.7263 0.2500
N 0.1360 0.2367 0.3613
N 0.6246 0.7633 0.3993
N 0.7085 0.2278 0.4807
N 0.2915 0.7722 0.5193
N 0.3754 0.2367 0.6007
N 0.8640 0.7633 0.6387
N 0.0237 0.2737 0.7500
N 0.5378 0.7878 0.7500
N 0.6246 0.2254 0.8613
N 0.1360 0.7746 0.8993
N 0.7530 0.7722 0.9807
W 0.5000 0.5000 0.0000
W 0.1399 0.5000 0.1399
W 0.6900 0.4400 0.2500
W 0.8601 0.0000 0.3601
W 0.0000 0.5000 0.5000
W 0.1399 0.0000 0.6399
W 0.3100 0.5600 0.7500
W 0.8601 0.5000 0.8601
! Magnetization: 0.0 μB/cell

---

model ii has the most favorable energy; the next structure is 422 meV per atom above.

---

Model i:
! BW2N4, optimized geometry, DFT GGA-PBE; values from VASP
&SYSTEM
  ibrav = 0, nat = 14, ntyp = 3
/
ATOMIC_SPECIES
B 10.81 B.upf
N 14.01 N.upf
W 183.84 W.upf
CELL_PARAMETERS angstrom
4.9452 -2.8544 0.0000
4.9452 2.8544 0.0000
-0.0001 0.0000 4.8115
ATOMIC_POSITIONS crystal
B 0.3333 0.3333 0.0808
B 0.6667 0.6667 0.9192
N 0.1789 0.1789 0.2205
N 0.6424 0.1788 0.2206
N 0.1788 0.6424 0.2206
N 0.6666 0.6666 0.2268
N 0.3334 0.3334 0.7732
N 0.8212 0.3576 0.7794
N 0.3576 0.8212 0.7794
N 0.8211 0.8211 0.7795
W 0.0000 0.0000 0.0000
W 0.5000 0.0000 0.5000
W 0.0000 0.5000 0.5000
W 0.5000 0.5000 0.5000
! Magnetization: 1.0 μB/cell

---

Model ii:
! BW2N4, optimized geometry, DFT GGA-PBE; values from VASP
&SYSTEM
  ibrav = 0, nat = 28, ntyp = 3
/
ATOMIC_SPECIES
B 10.81 B.upf
N 14.01 N.upf
W 183.84 W.upf
CELL_PARAMETERS angstrom
5.6766 0.0000 0.0000
0.0000 5.6766 0.0000
0.0000 0.0000 8.0713
ATOMIC_POSITIONS crystal
B 0.2447 0.2447 0.0000
B 0.2553 0.7447 0.2500
B 0.7553 0.7553 0.5000
B 0.7447 0.2553 0.7500
N 0.4717 0.2434 0.1129
N 0.0158 0.2439 0.1151
N 0.4842 0.7439 0.1349
N 0.0283 0.7434 0.1371
N 0.2566 0.9717 0.3629
N 0.2561 0.5158 0.3651
N 0.7561 0.9842 0.3849
N 0.7566 0.5283 0.3871
N 0.5283 0.7566 0.6129
N 0.9842 0.7561 0.6151
N 0.5158 0.2561 0.6349
N 0.9717 0.2566 0.6371
N 0.7434 0.0283 0.8629
N 0.7439 0.4842 0.8651
N 0.2439 0.0158 0.8849
N 0.2434 0.4717 0.8871
W 0.7478 0.9885 0.1141
W 0.7522 0.4885 0.1359
W 0.5115 0.2478 0.3641
W 0.0115 0.2522 0.3859
W 0.2522 0.0115 0.6141
W 0.2478 0.5115 0.6359
W 0.4885 0.7522 0.8641
W 0.9885 0.7478 0.8859
! Magnetization: 0.0 μB/cell

---

Model iii:
! BW2N4, optimized geometry, DFT GGA-PBE; values from VASP
&SYSTEM
  ibrav = 0, nat = 28, ntyp = 3
/
ATOMIC_SPECIES
B 10.81 B.upf
N 14.01 N.upf
W 183.84 W.upf
CELL_PARAMETERS angstrom
4.7897 0.0000 0.0000
0.0000 5.7655 0.0000
-0.0422 0.0000 9.9186
ATOMIC_POSITIONS crystal
B 0.4300 0.5000 0.1694
B 0.5852 0.0000 0.3294
B 0.4148 0.0000 0.6706
B 0.5700 0.5000 0.8306
N 0.2736 0.2804 0.0959
N 0.2736 0.7196 0.0959
N 0.7423 0.5000 0.1665
N 0.7147 0.0000 0.1830
N 0.2878 0.5000 0.3206
N 0.2779 0.0000 0.3340
N 0.7252 0.2352 0.4125
N 0.7252 0.7648 0.4125
N 0.2748 0.2352 0.5875
N 0.2748 0.7648 0.5875
N 0.7221 0.0000 0.6660
N 0.7122 0.5000 0.6794
N 0.2853 0.0000 0.8170
N 0.2577 0.5000 0.8335
N 0.7264 0.2804 0.9041
N 0.7264 0.7196 0.9041
W 0.0000 0.0000 0.0000
W 0.0000 0.5000 0.0000
W 0.0027 0.2352 0.2499
W 0.0027 0.7648 0.2499
W 0.0000 0.0000 0.5000
W 0.5000 0.5000 0.5000
W 0.9973 0.2352 0.7501
W 0.9973 0.7648 0.7501
! Magnetization: 0.0 μB/cell

---

Model iv:
! BW2N4, optimized geometry, DFT GGA-PBE; values from VASP
&SYSTEM
  ibrav = 0, nat = 14, ntyp = 3
/
ATOMIC_SPECIES
B 10.81 B.upf
N 14.01 N.upf
W 183.84 W.upf
CELL_PARAMETERS angstrom
2.8373 0.0000 0.0000
-1.4187 2.4572 0.0000
0.0000 0.0000 21.8110
ATOMIC_POSITIONS crystal
B 0.0000 0.0000 0.4205
B 0.0000 0.0000 0.9205
N 0.0000 0.0000 0.0511
N 0.6667 0.3333 0.1936
N 0.0000 0.0000 0.3076
N 0.3333 0.6667 0.4222
N 0.0000 0.0000 0.5511
N 0.3333 0.6667 0.6936
N 0.0000 0.0000 0.8076
N 0.6667 0.3333 0.9222
W 0.6667 0.3333 0.1019
W 0.3333 0.6667 0.2536
W 0.3333 0.6667 0.6019
W 0.6667 0.3333 0.7536
! Magnetization: 0.2 μB/cell

---

model ii has the most favorable energy; the next structure is 155 meV per atom above.

---

Model i:
! BW2N4, optimized geometry, DFT GGA-PBE; values from VASP
&SYSTEM
  ibrav = 0, nat = 28, ntyp = 3
/
ATOMIC_SPECIES
B 10.81 B.upf
N 14.01 N.upf
W 183.84 W.upf
CELL_PARAMETERS angstrom
-2.9339 8.8420 3.0728
-0.8710 6.0563 7.6677
2.7472 8.5490 3.9495
ATOMIC_POSITIONS crystal
B 0.1789 0.1789 0.1789
B 0.3559 0.3559 0.3559
B 0.6441 0.6441 0.6441
B 0.8211 0.8211 0.8211
N 0.6487 0.6487 0.0937
N 0.1247 0.1247 0.1247
N 0.6681 0.2291 0.2291
N 0.2291 0.6681 0.2291
N 0.3001 0.3001 0.3001
N 0.7709 0.7709 0.3319
N 0.9063 0.3513 0.3513
N 0.3513 0.9063 0.3513
N 0.6487 0.0937 0.6487
N 0.0937 0.6487 0.6487
N 0.2291 0.2291 0.6681
N 0.6999 0.6999 0.6999
N 0.7709 0.3319 0.7709
N 0.3319 0.7709 0.7709
N 0.8753 0.8753 0.8753
N 0.3513 0.3513 0.9063
W 0.0000 0.0000 0.0000
W 0.5898 0.0869 0.0869
W 0.0869 0.5898 0.0869
W 0.9131 0.9131 0.4102
W 0.5000 0.5000 0.5000
W 0.0869 0.0869 0.5898
W 0.9131 0.4102 0.9131
W 0.4102 0.9131 0.9131
! Magnetization: 0.5 μB/cell

---

Model ii:
! BW2N4, optimized geometry, DFT GGA-PBE; values from VASP
&SYSTEM
  ibrav = 0, nat = 28, ntyp = 3
/
ATOMIC_SPECIES
B 10.81 B.upf
N 14.01 N.upf
W 183.84 W.upf
CELL_PARAMETERS angstrom
9.7605 0.0000 0.0000
0.0000 5.7413 0.0000
0.0000 0.0000 4.8150
ATOMIC_POSITIONS crystal
B 0.4160 0.2500 0.0846
B 0.9160 0.2500 0.4154
B 0.0840 0.7500 0.5846
B 0.5840 0.7500 0.9154
N 0.3337 0.0324 0.2165
N 0.3337 0.4676 0.2165
N 0.5669 0.2500 0.2196
N 0.5874 0.7500 0.2235
N 0.0874 0.7500 0.2765
N 0.0669 0.2500 0.2804
N 0.8337 0.0324 0.2835
N 0.8337 0.4676 0.2835
N 0.1663 0.5324 0.7165
N 0.1663 0.9676 0.7165
N 0.9331 0.7500 0.7196
N 0.9126 0.2500 0.7235
N 0.4126 0.2500 0.7765
N 0.4331 0.7500 0.7804
N 0.6663 0.5324 0.7835
N 0.6663 0.9676 0.7835
W 0.0000 0.0000 0.0000
W 0.0000 0.5000 0.0000
W 0.2503 0.7500 0.0174
W 0.7503 0.7500 0.4826
W 0.5000 0.0000 0.5000
W 0.5000 0.5000 0.5000
W 0.2497 0.2500 0.5174
W 0.7497 0.2500 0.9826
! Magnetization: 0.0 μB/cell

---

Model iii:
! BW2N4, optimized geometry, DFT GGA-PBE; values from VASP
&SYSTEM
  ibrav = 0, nat = 7, ntyp = 3
/
ATOMIC_SPECIES
B 10.81 B.upf
N 14.01 N.upf
W 183.84 W.upf
CELL_PARAMETERS angstrom
2.4804 -1.4302 0.0000
2.4804 1.4302 0.0000
-0.0142 0.0000 10.3604
ATOMIC_POSITIONS crystal
B 0.0000 0.0000 0.6802
N 0.3332 0.3332 0.2777
N 0.9996 0.9996 0.5254
N 0.3336 0.3336 0.7091
N 0.0000 0.0000 0.9856
W 0.3331 0.3331 0.0881
W 0.6671 0.6671 0.4020
! Magnetization: 0.8 μB/cell

---

Model iv:
! BW2N4, optimized geometry, DFT GGA-PBE; values from VASP
&SYSTEM
  ibrav = 0, nat = 14, ntyp = 3
/
ATOMIC_SPECIES
B 10.81 B.upf
N 14.01 N.upf
W 183.84 W.upf
CELL_PARAMETERS angstrom
-2.8396 2.8399 4.0179
2.8396 -2.8399 4.0179
2.8396 2.8399 -4.0179
ATOMIC_POSITIONS crystal
B 0.8749 0.6249 0.2500
B 0.1251 0.3751 0.7500
N 0.7614 0.7391 0.0222
N 0.7608 0.2830 0.0223
N 0.7608 0.7385 0.4777
N 0.2169 0.7391 0.4778
N 0.7831 0.2609 0.5222
N 0.2392 0.2615 0.5223
N 0.2392 0.7170 0.9777
N 0.2386 0.2609 0.9778
W 0.0000 0.0000 0.0000
W 0.5000 0.0000 0.0000
W 0.5000 0.0000 0.5000
W 0.5000 0.5000 0.5000
! Magnetization: 0.0 μB/cell

---

model i has the most favorable energy; the next structure is 9 meV per atom above.

---

Model i:
! NaNiB4, optimized geometry, DFT GGA-PBE; values from VASP
&SYSTEM
  ibrav = 0, nat = 6, ntyp = 3
/
ATOMIC_SPECIES
B 10.81 B.upf
Na 22.99 Na.upf
Ni 58.69 Ni.upf
CELL_PARAMETERS angstrom
4.0451 -2.5522 1.0828
3.3777 3.5544 0.0805
-3.8726 -2.2719 1.9724
ATOMIC_POSITIONS crystal
B 0.5796 0.2243 0.3552
B 0.1309 0.7757 0.3552
B 0.8691 0.2243 0.6448
B 0.4204 0.7757 0.6448
Na 0.0000 0.0000 0.0000
Ni 0.5000 0.5000 0.0000
! Magnetization: 0.0 μB/cell

---

Model ii:
! NaNiB4, optimized geometry, DFT GGA-PBE; values from VASP
&SYSTEM
  ibrav = 0, nat = 6, ntyp = 3
/
ATOMIC_SPECIES
B 10.81 B.upf
Na 22.99 Na.upf
Ni 58.69 Ni.upf
CELL_PARAMETERS angstrom
3.0123 0.0000 0.0000
-1.5061 2.6087 0.0000
0.0000 0.0000 7.1763
ATOMIC_POSITIONS crystal
B 0.6667 0.3333 0.2006
B 0.3333 0.6667 0.2006
B 0.6667 0.3333 0.7994
B 0.3333 0.6667 0.7994
Na 0.0000 0.0000 0.5000
Ni 0.0000 0.0000 0.0000
! Magnetization: 0.0 μB/cell

---

model ii has the most favorable energy; the next structure is 138 meV per atom above.